Record 1
A relaxed CaHf2Hg crystal, computed with GGA-PBE.

extended XYZ file:
```
8
Lattice="-4.209 4.209 2.978 4.209 -4.209 2.978 4.209 4.209 -2.978" Properties=species:S:1:pos:R:3 pbc="T T T"
Ca 0.000 0.000 0.000
Ca 0.000 4.209 1.489
Hf 2.104 -1.720 2.234
Hf 2.489 2.104 0.745
Hf 2.104 5.929 -0.745
Hf 1.720 2.104 3.723
Hg 4.209 0.000 1.489
Hg 0.000 0.000 2.978
```

Output
- Space-group type: No. 122
- E_form: 505.0 meV per atom
- V: 26.4 Å³ per atom

=====

Record 2
A relaxed MnGa crystal, computed with GGA-PBE.

extended XYZ file:
```
8
Lattice="-3.767 3.767 3.767 3.767 -3.767 3.767 3.767 3.767 -3.767" Properties=species:S:1:pos:R:3 pbc="T T T"
Mn 2.900 2.900 -2.900
Mn 2.900 -2.900 2.900
Mn 0.866 0.866 0.866
Mn -2.900 2.900 2.900
Ga 1.501 1.501 -1.501
Ga 1.501 -1.501 1.501
Ga -1.501 1.501 1.501
Ga 2.266 2.266 2.266
```

Output
- Space-group type: No. 217
- E_form: 785.1 meV per atom
- V: 26.7 Å³ per atom

=====

Record 3
A relaxed Na3Sc2SbS6 crystal, computed with GGA-PBE.

extended XYZ file:
```
12
Lattice="3.340 -5.789 0.000 3.340 5.789 0.000 -2.235 0.000 6.627" Properties=species:S:1:pos:R:3 pbc="T T T"
Na 0.000 0.000 0.000
Na 3.340 1.883 0.000
Na 3.340 -1.883 0.000
Sc 2.222 3.852 3.314
Sc 2.222 -3.852 3.314
Sb 2.222 0.000 3.314
S 1.066 2.005 1.864
S -0.094 0.000 4.763
S 1.066 -2.005 1.864
S 3.379 2.005 4.764
S 4.539 0.000 1.864
S 3.379 -2.005 4.764
```

Output
- Space-group type: No. 12
- V: 21.4 Å³ per atom
- Raw total energy: -5.171 eV/atom

=====

Record 4
A relaxed Sc2GeHPd6 crystal, computed with GGA-PBE.

extended XYZ file:
```
10
Lattice="4.736 -2.813 0.000 4.736 2.813 0.000 -3.089 0.000 5.915" Properties=species:S:1:pos:R:3 pbc="T T T"
Sc 0.000 0.000 0.000
Sc 3.703 0.000 2.326
Ge 6.587 0.000 1.164
H 0.301 0.000 4.128
Pd -0.920 0.000 2.602
Pd 1.407 1.415 3.200
Pd 3.943 1.398 5.041
Pd 1.535 0.000 5.639
Pd 1.407 -1.415 3.200
Pd 3.943 -1.398 5.041
```

Output
- Space-group type: No. 8
- V: 15.8 Å³ per atom
- Raw total energy: -5.789 eV/atom

=====

Record 5
A relaxed Mg7In2Rh2 crystal, computed with GGA-PBE.

extended XYZ file:
```
11
Lattice="4.022 -4.880 0.000 4.022 4.880 0.000 0.000 0.000 6.537" Properties=species:S:1:pos:R:3 pbc="T T T"
Mg 0.000 0.000 0.000
Mg 2.011 2.440 1.605
Mg 2.011 2.440 4.932
Mg 2.011 -2.440 1.605
Mg 2.011 -2.440 4.932
Mg 4.022 0.000 1.500
Mg 4.022 0.000 5.037
In 1.444 0.000 3.268
In 6.599 0.000 3.268
Rh 4.022 2.191 0.000
Rh 4.022 -2.191 0.000
```

Output
- Space-group type: No. 65
- ΔE to the lowest computed polymorph: 19.1 kJ per mole of atoms
- E_form: -73.2 meV per atom
- V: 23.3 Å³ per atom